1.
DFT (GGA-PBE) results for a geometry-optimized CaPm3Ga3 structure.

Output
The calculation puts the total magnetization at 0.00 μB/f.u. The raw total energy comes out at -113.1 eV/cell. The calculation puts the calculated formation energy at -0.421 eV/atom.

Unit cell a=10.2685 b=10.5160 c=7.1164 alpha=90.00 beta=90.00 gamma=90.00
Space group Cmmm (No. 65)
Symmetry-distinct sites (fractional):
Ca 0.2166 0.0000 0.0000 (multiplicity 4)
Pm 0.0000 0.2317 0.5000 (multiplicity 4)
Pm 0.0000 0.2804 0.0000 (multiplicity 4)
Pm 0.2458 0.5000 0.5000 (multiplicity 4)
Ga 0.0000 0.5000 0.2673 (multiplicity 4)
Ga 0.2500 0.2500 0.2481 (multiplicity 8)

2.
DFT (GGA-PBE) results for a geometry-optimized CsLaSe2 structure.

Output
The calculation puts the total magnetization at 0.00 μB/f.u. The raw total energy comes out at -39.9 eV/cell.

Unit cell a=7.7558 b=4.4795 c=8.8732 alpha=90.00 beta=106.98 gamma=90.00
Space group Cm (No. 8)
Symmetry-distinct sites (fractional):
Cs 0.0000 0.0000 0.0000 (multiplicity 2)
La 0.3315 0.5000 0.4932 (multiplicity 2)
Se 0.2283 0.0000 0.6831 (multiplicity 2)
Se 0.4342 0.0000 0.3022 (multiplicity 2)

3.
DFT (GGA-PBE) results for a geometry-optimized La12Sn5Pb2 structure.

Output
The calculation puts the total magnetization at 1.35 μB/f.u. The raw total energy comes out at -189.4 eV/cell. The calculation puts the calculated formation energy at -0.428 eV/atom.

Unit cell a=17.8336 b=7.4642 c=10.8192 alpha=90.00 beta=102.00 gamma=90.00
Space group C2/m (No. 12)
Symmetry-distinct sites (fractional):
La 0.0178 0.0000 0.2400 (multiplicity 4)
La 0.0983 0.5000 0.7907 (multiplicity 4)
La 0.1436 0.2268 0.5421 (multiplicity 8)
La 0.1838 0.2350 0.0794 (multiplicity 8)
Sn 0.0000 0.5000 0.5000 (multiplicity 2)
Sn 0.1663 0.0000 0.8058 (multiplicity 4)
Sn 0.2175 0.0000 0.3362 (multiplicity 4)
Pb 0.0000 0.2866 0.0000 (multiplicity 4)

4.
DFT (GGA-PBE) results for a geometry-optimized PrDy2Tl structure.

Output
The energy relative to the lowest polymorph listed for this composition comes out at 79 meV per atom. The calculation puts the total magnetization at 0.00 μB/f.u. The raw total energy comes out at -67.1 eV/cell. The calculation puts the calculated formation energy at -0.104 eV/atom.

Unit cell a=4.6380 b=12.6497 c=8.7772 alpha=90.00 beta=90.00 gamma=90.00
Space group Cmcm (No. 63)
Symmetry-distinct sites (fractional):
Pr 0.0000 0.0573 0.2500 (multiplicity 4)
Dy 0.0000 0.3642 0.0509 (multiplicity 8)
Tl 0.0000 0.2331 0.7500 (multiplicity 4)

Which formula does entry 3 have? La12Sn5Pb2